Record 1
# ErBeNO

A geometry-optimized ErBeNO structure (PBE, OQMD).

Values from the calculation:
Total DFT energy (no corrections)   -7.016 eV per atom
Total magnetic moment   0.001 μB per formula unit
Energy above the lowest structure with this stoichiometry   565 meV/atom

```
8
Lattice="4.5166 0.0000 0.0000 0.0000 4.5166 0.0000 0.0000 0.0000 4.5196" Properties=species:S:1:pos:R:3 pbc="T T T"
Er 1.1291 3.3874 0.0000
Er 3.3874 1.1291 0.0000
Be 1.1291 1.1291 1.9098
Be 3.3874 3.3874 2.6098
N 1.1291 1.1291 0.3253
N 3.3874 3.3874 4.1943
O 1.1291 3.3874 2.2598
O 3.3874 1.1291 2.2598
```

Record 2
# LiHf3Se5

A geometry-optimized LiHf3Se5 structure (PBE, OQMD).

Values from the calculation:
Total DFT energy (no corrections)   -6.421 eV per atom
Total magnetic moment   0.005 μB per formula unit

```
9
Lattice="6.1366 0.0000 0.0000 -3.0683 5.3145 0.0000 0.0000 0.0000 7.4268" Properties=species:S:1:pos:R:3 pbc="T T T"
Li 0.0000 0.0000 0.0000
Hf -1.5341 2.6572 3.7134
Hf 3.0683 0.0000 3.7134
Hf 1.5341 2.6572 3.7134
Se 0.0000 0.0000 3.7134
Se 0.0000 3.5430 1.7130
Se 0.0000 3.5430 5.7138
Se 3.0683 1.7715 1.7130
Se 3.0683 1.7715 5.7138
```